(1)
# BaNaSrLi

Crystalline BaNaSrLi at its relaxed geometry (PBE-GGA, Alexandria via LeMat-Bulk).

abc: 4.3894 4.3894 9.2353
angles: 90.00 90.00 90.00
Closest atoms and distances in Å follow each position.
Space group P4mm (No. 99)
One atom of each set of equivalent atoms:
Ba 0.0000 0.0000 0.0000 [1 per cell]  4 Li 3.83, 4 Na 4.06, 1 Sr 4.22
Na 0.5000 0.5000 0.2832 [1 per cell]  4 Sr 3.92, 4 Ba 4.06, 1 Li 4.37, 4 Na 4.39
Sr 0.0000 0.0000 0.5427 [1 per cell]  4 Li 3.68, 4 Na 3.92
Li 0.5000 0.5000 0.7567 [1 per cell]  4 Sr 3.68, 4 Ba 3.83

Properties
energy of formation from the pure elements	26	meV per atom

---

(2)
# Ba2NaSrLi

Crystalline Ba2NaSrLi at its relaxed geometry (PBE-GGA, Alexandria via LeMat-Bulk).

abc: 6.8067 6.8067 5.7298
angles: 90.00 90.00 90.00
Closest atoms and distances in Å follow each position.
Space group P4/mmm (No. 123)
One atom of each set of equivalent atoms:
Ba 0.0000 0.5000 0.0000 [2 per cell]  2 Li 3.40
Na 0.0000 0.0000 0.5000 [1 per cell]  2 Li 2.86
Sr 0.5000 0.5000 0.5000 [1 per cell]  8 Ba 4.45, 4 Na 4.81
Li 0.0000 0.0000 0.0000 [1 per cell]  2 Na 2.86

Properties
energy of formation from the pure elements	175	meV per atom

---

(3)
# Ba2Na12SrLi3

Crystalline Ba2Na12SrLi3 at its relaxed geometry (PBE-GGA, Alexandria via LeMat-Bulk).

abc: 10.3022 10.3022 25.2721
angles: 90.00 90.00 120.00
Closest atoms and distances in Å follow each position.
Space group R-3m (No. 166, hexagonal axes)
One atom of each set of equivalent atoms:
Ba 0.0000 0.0000 0.0823 [6 per cell]  6 Na 3.73-3.96, 1 Ba 4.16
Na 0.0682 0.5341 0.2928 [18 per cell]  2 Li 2.91
Na 0.0889 0.5444 0.8799 [18 per cell]  1 Li 3.14
Sr 0.0000 0.0000 0.5000 [3 per cell]  12 Na 3.95-3.97
Li 0.0000 0.5000 0.0000 [9 per cell]  6 Na 2.91-3.14

Properties
energy of formation from the pure elements	197	meV per atom

---

(4)
# Ba2Na2Sr5Li

Crystalline Ba2Na2Sr5Li at its relaxed geometry (PBE-GGA, Alexandria via LeMat-Bulk).

abc: 14.9875 14.9875 4.5396
angles: 90.00 90.00 90.00
Closest atoms and distances in Å follow each position.
Space group P4/mbm (No. 127)
One atom of each set of equivalent atoms:
Ba 0.1779 0.3221 0.0000 [4 per cell]  1 Na 3.99, 2 Sr 4.40
Na 0.1337 0.6337 0.0000 [4 per cell]  6 Sr 3.63-3.71, 1 Ba 3.99
Sr 0.0000 0.5000 0.5000 [2 per cell]  4 Na 3.63
Sr 0.0496 0.8104 0.5000 [8 per cell]  2 Na 3.71, 2 Li 3.71, 2 Sr 4.15
Li 0.0000 0.0000 0.0000 [2 per cell]  8 Sr 3.71

Properties
energy of formation from the pure elements	54	meV per atom

---

What are the ρ values for these records? In order: 2.38, 2.45, 1.41, 2.49 g/cm3.